# 1
The following is a GGA-PBE calculation of a relaxed Nd3Er3Tl2 crystal, from Alexandria via LeMat-Bulk.

Geometry as extended XYZ:
```
16
Lattice="5.106 0.000 0.000 -2.553 5.990 0.000 0.000 0.000 16.642" Properties=species:S:1:pos:R:3 pbc="T T T"
Nd 2.553 5.431 6.590
Nd 0.000 0.558 14.911
Nd 2.553 5.431 1.731
Nd 0.000 0.558 10.052
Nd 2.553 2.595 4.161
Nd 0.000 3.394 12.482
Er 2.553 1.623 7.647
Er 0.000 4.367 15.968
Er 2.553 1.623 0.674
Er 0.000 4.367 8.995
Er 0.000 5.204 4.161
Er 2.553 0.786 12.482
Tl 2.553 3.158 14.571
Tl 0.000 2.832 6.250
Tl 2.553 3.158 10.393
Tl 0.000 2.832 2.071
```

Properties
E	-67.290	eV/cell

***

# 2
The following is a GGA-PBE calculation of a relaxed Nd3ErTl3 crystal, from Alexandria via LeMat-Bulk.

Geometry as extended XYZ:
```
28
Lattice="-8.643 2.340 3.295 0.695 -6.802 6.654 3.981 6.267 5.991" Properties=species:S:1:pos:R:3 pbc="T T T"
Nd -6.238 0.789 5.939
Nd -3.696 1.682 14.851
Nd -5.358 -0.651 9.152
Nd 0.388 -3.173 8.037
Nd -0.701 0.319 2.817
Nd 0.472 -0.602 10.598
Nd 1.972 0.785 6.502
Nd 0.584 4.780 7.185
Nd -2.346 4.544 9.313
Nd -2.667 1.214 10.719
Nd -3.146 3.571 4.913
Nd -3.064 -2.428 5.613
Er 3.431 2.059 9.616
Er -5.650 5.257 6.995
Er -1.685 0.767 6.770
Er -4.029 -4.472 8.499
Tl -2.129 3.719 12.675
Tl -6.475 3.619 4.414
Tl -5.575 1.151 12.108
Tl 0.175 -1.584 5.240
Tl -0.011 2.820 4.695
Tl -1.603 -5.284 6.635
Tl 3.608 3.699 6.914
Tl 0.128 2.138 8.974
Tl -3.649 0.350 4.070
Tl -1.761 -0.562 13.252
Tl -4.191 2.355 7.875
Tl -2.317 -1.590 8.788
```

Properties
E	-111.367	eV/cell

***

Values of ΔE_f, in order: -0.115, -0.268, all in eV/atom.